Nd3Al4Ga4 | Alexandria via LeMat-Bulk | PBE-GGA | optimized geometry; final energy = -4.24 eV/atom; V = 21.4 Å³ per atom; energy relative to the elements = -475 meV/atom; magnetic moment = 0.00 μB per formula unit
1.0
4.346 0.000 0.000
0.000 7.201 0.000
-2.173 -3.601 7.519
Nd Al Ga
3 4 4
Direct
0.130 0.130 0.259 Nd
0.870 0.870 0.741 Nd
0.000 0.500 0.000 Nd
0.344 0.160 0.688 Al
0.656 0.472 0.312 Al
0.656 0.840 0.312 Al
0.344 0.528 0.688 Al
0.216 0.716 0.433 Ga
0.784 0.284 0.567 Ga
0.500 0.822 0.000 Ga
0.500 0.178 0.000 Ga



CuSeBr2 | Alexandria via LeMat-Bulk | PBE-GGA | optimized geometry; distance to the lowest polymorph of the same formula = 0.420 eV per atom; formation energy from raw total energies = 0.25 eV/atom; final energy = -2.48 eV/atom; V = 22.6 Å³ per atom; magnetic moment = 0.40 μB per formula unit
1.0
8.224 -0.039 -0.023
7.441 3.501 -0.023
7.441 1.645 3.091
Br Cu Se
2 1 1
Direct
0.980 0.980 0.980 Br
0.520 0.520 0.520 Br
0.250 0.250 0.250 Cu
0.750 0.750 0.750 Se



KCd2Rh2 | Alexandria via LeMat-Bulk | PBE-GGA | optimized geometry; distance to the lowest polymorph of the same formula = 0.000 eV per atom; final energy = -3.45 eV/atom; V = 20.3 Å³ per atom; energy relative to the elements = 76 meV/atom; magnetic moment = 0.46 μB per formula unit
1.0
8.232 0.000 0.000
0.000 8.232 0.000
0.000 0.000 2.992
K Rh Cd
2 4 4
Direct
0.000 0.000 0.000 K
0.500 0.500 0.000 K
0.385 0.885 0.000 Rh
0.885 0.615 0.000 Rh
0.615 0.115 0.000 Rh
0.115 0.385 0.000 Rh
0.175 0.675 0.500 Cd
0.675 0.825 0.500 Cd
0.825 0.325 0.500 Cd
0.325 0.175 0.500 Cd



PrSn3Au3 | Alexandria via LeMat-Bulk | PBE-GGA | optimized geometry; distance to the lowest polymorph of the same formula = 0.334 eV per atom; final energy = -3.84 eV/atom; V = 30.3 Å³ per atom; energy relative to the elements = -33 meV/atom; magnetic moment = 0.00 μB per formula unit
1.0
7.511 0.000 0.000
0.000 7.511 0.000
0.000 0.000 7.511
Pr Au Sn
2 6 6
Direct
0.500 0.500 0.500 Pr
0.000 0.000 0.000 Pr
0.000 0.250 0.500 Au
0.000 0.750 0.500 Au
0.500 0.000 0.750 Au
0.750 0.500 0.000 Au
0.500 0.000 0.250 Au
0.250 0.500 0.000 Au
0.250 0.000 0.500 Sn
0.000 0.500 0.250 Sn
0.500 0.750 0.000 Sn
0.750 0.000 0.500 Sn
0.000 0.500 0.750 Sn
0.500 0.250 0.000 Sn



LiHg2Rh | Alexandria via LeMat-Bulk | PBE-GGA | optimized geometry; final energy = -2.43 eV/atom; V = 20.6 Å³ per atom; energy relative to the elements = 42 meV/atom; magnetic moment = 0.00 μB per formula unit
1.0
4.604 0.000 0.000
2.302 3.987 0.000
2.302 1.329 4.497
Li Hg Rh
1 2 1
Direct
0.488 0.488 0.536 Li
0.056 0.056 0.832 Hg
0.273 0.273 0.181 Hg
0.683 0.683 0.951 Rh



HfTi2Rh | Alexandria via LeMat-Bulk | PBE-GGA | optimized geometry; final energy = -8.68 eV/atom; V = 17.2 Å³ per atom; energy relative to the elements = -405 meV/atom; magnetic moment = 0.00 μB per formula unit
1.0
-1.699 -2.083 1.603
1.732 0.549 2.548
-4.430 5.086 1.916
Rh Hf Ti
1 1 2
Direct
0.500 0.500 0.000 Rh
0.500 0.500 0.500 Hf
0.000 0.000 0.780 Ti
0.000 0.000 0.220 Ti